(1)
DFT (PBE) results for a relaxed LiPm2Hg3 crystal.

Cell lengths 5.2143, 5.2143, 12.9004 Å; angles 90.00, 90.00, 120.00 degrees
Space group P-3m1 (No. 164)
One atom of each set of equivalent atoms:
1 Li 0.3333 0.6667 0.1633 [2 per cell]
2 Pm 0.0000 0.0000 0.0000 [1 per cell]
3 Pm 0.0000 0.0000 0.5000 [1 per cell]
4 Pm 0.3333 0.6667 0.6836 [2 per cell]
5 Hg 0.0000 0.0000 0.2430 [2 per cell]
6 Hg 0.3333 0.6667 0.4066 [2 per cell]
7 Hg 0.3333 0.6667 0.9252 [2 per cell]

Properties
E above lowest polymorph: 0.0 meV per atom
Total moment: 0.00 Bohr magnetons per cell
Energy of formation from the pure elements: -453 meV per atom

(2)
DFT (PBE) results for a relaxed YPtNO2 crystal.

Cell lengths 4.336, 4.336, 4.535 Å; angles 90.00, 90.00, 90.00 degrees
Space group P4/mmm (No. 123)
One atom of each set of equivalent atoms:
1 Y 0.000 0.000 0.000 [1 per cell]
2 Pt 0.500 0.500 0.500 [1 per cell]
3 N 0.000 0.000 0.500 [1 per cell]
4 O 0.000 0.500 0.000 [2 per cell]

Properties
Total moment: 4.01 Bohr magnetons per cell
ΔE_f (raw): 0.214 eV/atom

(3)
DFT (PBE) results for a relaxed TlIn2Hg crystal.

Cell lengths 3.335, 5.769, 5.847 Å; angles 90.00, 93.94, 90.00 degrees
Space group P2/m (No. 10)
One atom of each set of equivalent atoms:
1 Tl 0.000 0.000 0.000 [1 per cell]
2 In 0.293 0.500 0.746 [2 per cell]
3 Hg 0.500 0.000 0.500 [1 per cell]

Properties
Total moment: 0.00 Bohr magnetons per cell
Energy of formation from the pure elements: 20 meV per atom